First-principles (PBE with a Hubbard U) data for a relaxed structure of AlCrHF2, as listed in the Alexandria database.

Output
- Energy: -21.5 eV/f.u.
- Fermi-level density of states: 0.00 states/eV per atom
- Volume: 67.9 Å³ per cell
- Symmetry: P4/mmm

a b c (Å): 4.601 3.208 4.601
angles (deg): 90.00 90.00 90.00
Sites, in units of the cell vectors:
Cr 0.000 0.500 0.000
Al 0.500 0.500 0.500
H 0.000 0.000 0.000
F 0.000 0.000 0.500
F 0.500 0.000 0.000